A PBEsol-optimized structure of Ni2HgSb, computed with meta-GGA SCAN.

Computed properties:
space group	Imm2, No. 44
formation energy without anion corrections	20	kJ per mole of atoms
calculated total energy	-34.24	eV/atom
crystal system	orthorhombic
total magnetic moment	0.0	μB per formula unit

Unit cell a=3.0172 b=4.1028 c=5.8787 alpha=110.42 beta=104.87 gamma=90.00
With the nearest neighbours (Å) after each atom.
Sites, in units of the cell vectors:
Hg (0.2274, 0.7274, 0.4548)  6 Ni 2.57-2.76
Ni (0.0529, 0.0529, 0.1057)  2 Ni 2.66, 4 Sb 2.73, 2 Hg 2.76
Ni (0.7594, 0.2594, 0.5187)  4 Hg 2.57, 2 Sb 2.61, 2 Ni 2.66
Sb (0.4604, 0.4604, 0.9208)  6 Ni 2.61-2.73